Computed, not measured: a relaxed structure of Nd2PaSbN5 at the PBE level of DFT.

Lattice parameters (Å, degrees): 3.597 14.491 10.720 90.00 90.00 90.00
Space group Cmc2_1 (No. 36)
Inequivalent atoms, fractional coordinates:
Nd 0.000 0.114 0.000 x4
Nd 0.000 0.134 0.589 x4
Pa 0.000 0.217 0.306 x4
Sb 0.000 0.486 0.775 x4
N 0.000 0.053 0.358 x4
N 0.000 0.282 0.942 x4
N 0.000 0.301 0.673 x4
N 0.000 0.371 0.306 x4
N 0.000 0.497 0.085 x4

- Energy relative to the elements, uncorrected: -0.8965 eV/atom
- Crystal system: orthorhombic
- Electronic total energy: -0.595 Ry per atom